ScBe17Re: optimized geometry, PBE.

a = 7.3571 Å, b = 7.3571 Å, c = 10.7307 Å
α = 90.00°, β = 90.00°, γ = 120.00°
Last column: nearest neighbours and their distance in Å.
Space group R3m (No. 160, hexagonal axes)
One atom of each set of equivalent atoms:
Sc: 0.0000 0.0000 0.0000 [3 per cell]  19 Be 2.63-2.82
Be: 0.0000 0.0000 0.5578 [3 per cell]  7 Be 2.11-2.26
Be: 0.0000 0.0000 0.7548 [3 per cell]  7 Be 2.11-2.37
Be: 0.0401 0.3684 0.3270 [18 per cell]  8 Be 2.09-2.25
Be: 0.1674 0.3348 0.4933 [9 per cell]  10 Be 2.09-2.25
Be: 0.1676 0.3352 0.1497 [9 per cell]  9 Be 2.11-2.26
Be: 0.1719 0.3438 0.8384 [9 per cell]  8 Be 2.11-2.24
Re: 0.0000 0.0000 0.3231 [3 per cell]  16 Be 2.52-2.81

=====

BaLi2AlIn4: optimized geometry, PBE.

a = 4.8540 Å, b = 4.8540 Å, c = 30.7899 Å
α = 90.00°, β = 90.00°, γ = 120.00°
Last column: nearest neighbours and their distance in Å.
Space group R-3m (No. 166, hexagonal axes)
One atom of each set of equivalent atoms:
Ba: 0.0000 0.0000 0.0000 [3 per cell]  8 In 3.60-3.84
Li: 0.0000 0.0000 0.2234 [6 per cell]  7 In 2.84-3.04
Al: 0.0000 0.0000 0.5000 [3 per cell]  8 In 2.88-3.08
In: 0.0000 0.0000 0.1248 [6 per cell]  4 Li 2.84-3.04, 3 Al 3.08
In: 0.0000 0.0000 0.4066 [6 per cell]  1 Al 2.88, 3 Li 3.02, 3 In 3.22

=====

Number 1: formation energy from the elements -0.146 eV per atom. Number 2: formation energy from the elements -0.233 eV per atom.